1.
This record from Alexandria via LeMat-Bulk describes crystalline LiTmZn4 at its relaxed geometry. The functional is PBE.

Cell: 4.3738 4.3738 6.3319 Å, 90.00 90.00 120.00°
Space group P6/mmm (No. 191)
One atom of each set of equivalent atoms:
Li1 0.0000 0.0000 0.0000 (multiplicity 1)
Tm1 0.0000 0.0000 0.5000 (multiplicity 1)
Zn1 0.3333 0.6667 0.2187 (multiplicity 4)

Output
The calculation puts the energy relative to the elements at -0.272 eV/atom. For the total energy, the calculation gives -13.11 eV for the cell shown. As for the relative energy among the computed polymorphs: 0.0000 eV per atom.

=====

2.
This record from Alexandria via LeMat-Bulk describes crystalline LiTmZn10 at its relaxed geometry. The functional is PBE.

Cell: 4.296 5.143 9.058 Å, 90.00 90.00 90.00°
Space group Pmmm (No. 47)
One atom of each set of equivalent atoms:
Li1 0.000 0.000 0.000 (multiplicity 1)
Tm1 0.000 0.500 0.500 (multiplicity 1)
Zn1 0.000 0.000 0.316 (multiplicity 2)
Zn2 0.000 0.500 0.156 (multiplicity 2)
Zn3 0.500 0.000 0.500 (multiplicity 1)
Zn4 0.500 0.257 0.259 (multiplicity 4)
Zn5 0.500 0.500 0.000 (multiplicity 1)

Output
The calculation puts the energy relative to the elements at -0.159 eV/atom. For the total energy, the calculation gives -21.03 eV for the cell shown.

=====

3.
This record from Alexandria via LeMat-Bulk describes crystalline LiTm2Zn3 at its relaxed geometry. The functional is PBE.

Cell: 4.8441 4.8441 11.7889 Å, 90.00 90.00 120.00°
Space group P-3m1 (No. 164)
One atom of each set of equivalent atoms:
Li1 0.3333 0.6667 0.1649 (multiplicity 2)
Tm1 0.0000 0.0000 0.0000 (multiplicity 1)
Tm2 0.0000 0.0000 0.5000 (multiplicity 1)
Tm3 0.3333 0.6667 0.6780 (multiplicity 2)
Zn1 0.0000 0.0000 0.2457 (multiplicity 2)
Zn2 0.3333 0.6667 0.4084 (multiplicity 2)
Zn3 0.3333 0.6667 0.9269 (multiplicity 2)

Output
The calculation puts the energy relative to the elements at -0.272 eV/atom. For the total energy, the calculation gives -32.63 eV for the cell shown. As for the relative energy among the computed polymorphs: 0.0000 eV per atom.

=====

4.
This record from Alexandria via LeMat-Bulk describes crystalline LiTm5Zn6 at its relaxed geometry. The functional is PBE.

Cell: 4.921 6.922 14.778 Å, 90.00 90.00 90.00°
Space group Immm (No. 71)
One atom of each set of equivalent atoms:
Li1 0.000 0.000 0.000 (multiplicity 2)
Tm1 0.000 0.000 0.333 (multiplicity 4)
Tm2 0.000 0.500 0.000 (multiplicity 2)
Tm3 0.000 0.500 0.334 (multiplicity 4)
Zn1 0.000 0.238 0.160 (multiplicity 8)
Zn2 0.000 0.262 0.500 (multiplicity 4)

Output
The calculation puts the energy relative to the elements at -0.307 eV/atom. For the total energy, the calculation gives -71.20 eV for the cell shown.

=====

5.
This record from Alexandria via LeMat-Bulk describes crystalline Li2TmZn4 at its relaxed geometry. The functional is PBE.

Cell: 6.886 6.886 4.902 Å, 90.00 90.00 90.00°
Space group I4/mmm (No. 139)
One atom of each set of equivalent atoms:
Li1 0.000 0.500 0.250 (multiplicity 4)
Tm1 0.000 0.000 0.000 (multiplicity 2)
Zn1 0.192 0.192 0.500 (multiplicity 8)

Output
The calculation puts the energy relative to the elements at -0.281 eV/atom. For the total energy, the calculation gives -30.73 eV for the cell shown.

=====

6.
This record from Alexandria via LeMat-Bulk describes crystalline LiTmZrZn at its relaxed geometry. The functional is PBE.

Cell: 6.888 6.888 6.888 Å, 90.00 90.00 90.00°
Space group F-43m (No. 216)
One atom of each set of equivalent atoms:
Li1 0.000 0.000 0.000 (multiplicity 4)
Tm1 0.250 0.250 0.250 (multiplicity 4)
Zr1 0.250 0.250 0.750 (multiplicity 4)
Zn1 0.000 0.000 0.500 (multiplicity 4)

Output
The calculation puts the energy relative to the elements at -0.016 eV/atom. For the total energy, the calculation gives -65.09 eV for the cell shown.